Below is an optimized crystal structure of ZnCdSe2, with properties calculated at the PBE level.

The structure in POSCAR format:
```
ZnCdSe2
1.0
-3.215 -2.087 -0.926
2.168 -3.292 -0.111
-1.010 -0.848 5.420
Se Cd Zn
2 1 1
Cartesian
0.000 0.000 0.000 Se
-1.028 -3.113 2.192 Se
-0.523 -2.689 -0.518 Cd
-0.505 -0.424 2.710 Zn
```

ΔE_f (raw) (eV/atom): -0.4059
Space group: No. 123